{
  "formula": "PuU4Ru3",
  "functional": "PBE",
  "state": "optimized geometry",
  "cell": [[3.1447, 0.0000, 0.0000], [0.0000, 4.8152, -0.2249], [-1.5724, -1.9616, 10.0776]],
  "species": ["Pu", "U", "U", "U", "U", "Ru", "Ru", "Ru"],
  "fractional_positions": [[0.5000, 0.0000, 0.0000], [0.8488, 0.3507, 0.6976], [0.1512, 0.6493, 0.3024], [0.0975, 0.0950, 0.1950], [0.9025, 0.9050, 0.8050], [0.0000, 0.5000, 0.0000], [0.2338, 0.2336, 0.4675], [0.7662, 0.7664, 0.5325]],
  "de_polymorph_ev_per_fu": 2.25,
  "delta_e_f_ev_per_atom": 0.360,
  "vol_a3_per_atom": 18.90,
  "sg": "C2/m, No. 12"
}